Entry from Alexandria via LeMat-Bulk: a relaxed structure of NaIrW2O8 (GGA+U).

Values from the calculation:
As for the volume: 144.45 Å³/cell. The energy comes out at -6.93 eV/atom.

Cell lengths 4.8263, 4.8237, 6.2079 Å; angles 90.00, 90.00, 88.18 degrees
Fractional coordinates of all 12 atoms:
O1 0.2189 0.7811 0.2143
O2 0.2189 0.7811 0.7857
O3 0.3253 0.3253 0.5000
O4 0.7099 0.7101 0.0000
O5 0.7811 0.2189 0.7857
O6 0.2901 0.2899 0.0000
O7 0.7811 0.2189 0.2143
O8 0.6747 0.6747 0.5000
Ir1 0.0000 0.0000 0.0000
W1 0.5000 0.5000 0.2463
W2 0.5000 0.5000 0.7537
Na1 0.0000 0.0000 0.5000